Record 1
# Rb2VI (GGA-PBE, optimized geometry)
# Uncorrected energy   -2.778 eV/atom
# Energy above the most stable polymorph in this dataset   41.5 meV/atom
data_Rb2VI
_chemical_formula_sum 'Rb8 V4 I4'
_cell_length_a 9.907
_cell_length_b 9.907
_cell_length_c 9.446
_cell_angle_alpha 90.00
_cell_angle_beta 90.00
_cell_angle_gamma 90.00
_space_group_name_H-M_alt 'P 1'
_space_group_IT_number 1
_space_group_name_Hall 'P 1'
loop_
_atom_site_label
_atom_site_fract_x
_atom_site_fract_y
_atom_site_fract_z
Rb1 0.230 0.250 0.125
Rb2 0.250 0.730 0.375
Rb3 0.250 0.770 0.875
Rb4 0.270 0.250 0.625
Rb5 0.730 0.750 0.625
Rb6 0.750 0.230 0.875
Rb7 0.750 0.270 0.375
Rb8 0.770 0.750 0.125
V1 0.000 0.000 0.500
V2 0.000 0.500 0.750
V3 0.500 0.000 0.250
V4 0.500 0.500 0.000
I1 0.000 0.000 0.000
I2 0.000 0.500 0.250
I3 0.500 0.000 0.750
I4 0.500 0.500 0.500

Record 2
# RbVI4 (GGA-PBE, optimized geometry)
# Uncorrected energy   -3.477 eV/atom
data_RbVI4
_chemical_formula_sum 'Rb4 V4 I16'
_cell_length_a 7.410
_cell_length_b 14.693
_cell_length_c 13.480
_cell_angle_alpha 90.00
_cell_angle_beta 118.85
_cell_angle_gamma 90.00
_space_group_name_H-M_alt 'P 1'
_space_group_IT_number 1
_space_group_name_Hall 'P 1'
loop_
_atom_site_label
_atom_site_fract_x
_atom_site_fract_y
_atom_site_fract_z
Rb1 0.102 0.066 0.258
Rb2 0.102 0.434 0.758
Rb3 0.898 0.566 0.242
Rb4 0.898 0.934 0.742
V1 0.494 0.175 0.772
V2 0.494 0.325 0.272
V3 0.506 0.675 0.728
V4 0.506 0.825 0.228
I1 0.124 0.177 0.748
I2 0.124 0.323 0.248
I3 0.283 0.562 0.568
I4 0.283 0.938 0.068
I5 0.356 0.661 0.183
I6 0.356 0.839 0.683
I7 0.476 0.117 0.586
I8 0.476 0.383 0.086
I9 0.524 0.617 0.914
I10 0.524 0.883 0.414
I11 0.644 0.161 0.317
I12 0.644 0.339 0.817
I13 0.717 0.062 0.932
I14 0.717 0.438 0.432
I15 0.876 0.677 0.752
I16 0.876 0.823 0.252

Record 3
# Rb3V5I12 (GGA-PBE, optimized geometry)
# Uncorrected energy   -3.902 eV/atom
data_Rb3V5I12
_chemical_formula_sum 'Rb12 V20 I48'
_cell_length_a 16.090
_cell_length_b 16.090
_cell_length_c 16.090
_cell_angle_alpha 109.47
_cell_angle_beta 109.47
_cell_angle_gamma 109.47
_space_group_name_H-M_alt 'P 1'
_space_group_IT_number 1
_space_group_name_Hall 'P 1'
loop_
_atom_site_label
_atom_site_fract_x
_atom_site_fract_y
_atom_site_fract_z
Rb1 0.125 0.250 0.375
Rb2 0.125 0.375 0.750
Rb3 0.250 0.375 0.125
Rb4 0.250 0.875 0.625
Rb5 0.375 0.125 0.250
Rb6 0.375 0.750 0.125
Rb7 0.625 0.250 0.875
Rb8 0.625 0.875 0.750
Rb9 0.750 0.125 0.375
Rb10 0.750 0.625 0.875
Rb11 0.875 0.625 0.250
Rb12 0.875 0.750 0.625
V1 0.000 0.000 0.000
V2 0.000 0.000 0.500
V3 0.000 0.500 0.000
V4 0.000 0.500 0.500
V5 0.125 0.750 0.875
V6 0.125 0.875 0.250
V7 0.250 0.125 0.875
V8 0.250 0.625 0.375
V9 0.375 0.250 0.625
V10 0.375 0.625 0.750
V11 0.500 0.000 0.000
V12 0.500 0.000 0.500
V13 0.500 0.500 0.000
V14 0.500 0.500 0.500
V15 0.625 0.375 0.250
V16 0.625 0.750 0.375
V17 0.750 0.375 0.625
V18 0.750 0.875 0.125
V19 0.875 0.125 0.750
V20 0.875 0.250 0.125
I1 0.013 0.193 0.106
I2 0.013 0.321 0.907
I3 0.087 0.693 0.679
I4 0.087 0.894 0.407
I5 0.093 0.606 0.413
I6 0.093 0.987 0.679
I7 0.106 0.013 0.193
I8 0.106 0.593 0.913
I9 0.179 0.193 0.587
I10 0.179 0.487 0.593
I11 0.193 0.106 0.013
I12 0.193 0.587 0.179
I13 0.307 0.321 0.913
I14 0.307 0.487 0.394
I15 0.321 0.907 0.013
I16 0.321 0.913 0.307
I17 0.394 0.307 0.487
I18 0.394 0.587 0.907
I19 0.407 0.087 0.894
I20 0.407 0.821 0.513
I21 0.413 0.093 0.606
I22 0.413 0.821 0.807
I23 0.487 0.394 0.307
I24 0.487 0.593 0.179
I25 0.513 0.407 0.821
I26 0.513 0.606 0.693
I27 0.587 0.179 0.193
I28 0.587 0.907 0.394
I29 0.593 0.179 0.487
I30 0.593 0.913 0.106
I31 0.606 0.413 0.093
I32 0.606 0.693 0.513
I33 0.679 0.087 0.693
I34 0.679 0.093 0.987
I35 0.693 0.513 0.606
I36 0.693 0.679 0.087
I37 0.807 0.413 0.821
I38 0.807 0.894 0.987
I39 0.821 0.513 0.407
I40 0.821 0.807 0.413
I41 0.894 0.407 0.087
I42 0.894 0.987 0.807
I43 0.907 0.013 0.321
I44 0.907 0.394 0.587
I45 0.913 0.106 0.593
I46 0.913 0.307 0.321
I47 0.987 0.679 0.093
I48 0.987 0.807 0.894

Record 4
# RbVI3 (GGA-PBE, optimized geometry)
# Uncorrected energy   -3.796 eV/atom
data_RbVI3
_chemical_formula_sum 'Rb6 V6 I18'
_cell_length_a 13.989
_cell_length_b 13.989
_cell_length_c 7.070
_cell_angle_alpha 90.00
_cell_angle_beta 90.00
_cell_angle_gamma 120.00
_space_group_name_H-M_alt 'P 1'
_space_group_IT_number 1
_space_group_name_Hall 'P 1'
loop_
_atom_site_label
_atom_site_fract_x
_atom_site_fract_y
_atom_site_fract_z
Rb1 0.000 0.336 0.000
Rb2 0.000 0.664 0.500
Rb3 0.336 0.000 0.000
Rb4 0.336 0.336 0.500
Rb5 0.664 0.000 0.500
Rb6 0.664 0.664 0.000
V1 0.000 0.000 0.157
V2 0.000 0.000 0.657
V3 0.333 0.667 0.315
V4 0.333 0.667 0.815
V5 0.667 0.333 0.315
V6 0.667 0.333 0.815
I1 0.000 0.160 0.405
I2 0.000 0.840 0.905
I3 0.160 0.000 0.405
I4 0.160 0.160 0.905
I5 0.174 0.505 0.566
I6 0.174 0.668 0.066
I7 0.332 0.505 0.066
I8 0.332 0.826 0.566
I9 0.495 0.668 0.566
I10 0.495 0.826 0.066
I11 0.505 0.174 0.566
I12 0.505 0.332 0.066
I13 0.668 0.174 0.066
I14 0.668 0.495 0.566
I15 0.826 0.332 0.566
I16 0.826 0.495 0.066
I17 0.840 0.000 0.905
I18 0.840 0.840 0.405

Record 5
# Rb2VWI6 (GGA-PBE, optimized geometry)
# Uncorrected energy   -3.734 eV/atom
data_Rb2VWI6
_chemical_formula_sum 'Rb2 V1 W1 I6'
_cell_length_a 8.195
_cell_length_b 8.195
_cell_length_c 8.195
_cell_angle_alpha 120.11
_cell_angle_beta 120.11
_cell_angle_gamma 89.82
_space_group_name_H-M_alt 'P 1'
_space_group_IT_number 1
_space_group_name_Hall 'P 1'
loop_
_atom_site_label
_atom_site_fract_x
_atom_site_fract_y
_atom_site_fract_z
Rb1 0.250 0.750 0.500
Rb2 0.750 0.250 0.500
V1 0.000 0.000 0.000
W1 0.500 0.500 0.000
I1 0.253 0.253 0.000
I2 0.253 0.253 0.507
I3 0.253 0.747 0.000
I4 0.747 0.253 0.000
I5 0.747 0.747 0.000
I6 0.747 0.747 0.493

Record 6
# RbYVI6 (GGA-PBE, optimized geometry)
# Uncorrected energy   -3.965 eV/atom
data_RbYVI6
_chemical_formula_sum 'Rb2 Y2 V2 I12'
_cell_length_a 7.615
_cell_length_b 7.615
_cell_length_c 16.715
_cell_angle_alpha 90.00
_cell_angle_beta 90.00
_cell_angle_gamma 120.00
_space_group_name_H-M_alt 'P 1'
_space_group_IT_number 1
_space_group_name_Hall 'P 1'
loop_
_atom_site_label
_atom_site_fract_x
_atom_site_fract_y
_atom_site_fract_z
Rb1 0.000 0.000 0.000
Rb2 0.000 0.000 0.500
Y1 0.333 0.667 0.250
Y2 0.667 0.333 0.750
V1 0.333 0.667 0.750
V2 0.667 0.333 0.250
I1 0.018 0.375 0.649
I2 0.018 0.643 0.851
I3 0.357 0.375 0.851
I4 0.357 0.982 0.649
I5 0.375 0.018 0.149
I6 0.375 0.357 0.351
I7 0.625 0.643 0.649
I8 0.625 0.982 0.851
I9 0.643 0.018 0.351
I10 0.643 0.625 0.149
I11 0.982 0.357 0.149
I12 0.982 0.625 0.351

Which value of uncorrected energy does entry 6 give?
-3.965 eV/atom

Look up the uncorrected energy of the second one.
-3.477 eV/atom

Repeat the first record exactly.
# Rb2VI (GGA-PBE, optimized geometry)
# Uncorrected energy   -2.778 eV/atom
# Energy above the most stable polymorph in this dataset   41.5 meV/atom
data_Rb2VI
_chemical_formula_sum 'Rb8 V4 I4'
_cell_length_a 9.907
_cell_length_b 9.907
_cell_length_c 9.446
_cell_angle_alpha 90.00
_cell_angle_beta 90.00
_cell_angle_gamma 90.00
_space_group_name_H-M_alt 'P 1'
_space_group_IT_number 1
_space_group_name_Hall 'P 1'
loop_
_atom_site_label
_atom_site_fract_x
_atom_site_fract_y
_atom_site_fract_z
Rb1 0.230 0.250 0.125
Rb2 0.250 0.730 0.375
Rb3 0.250 0.770 0.875
Rb4 0.270 0.250 0.625
Rb5 0.730 0.750 0.625
Rb6 0.750 0.230 0.875
Rb7 0.750 0.270 0.375
Rb8 0.770 0.750 0.125
V1 0.000 0.000 0.500
V2 0.000 0.500 0.750
V3 0.500 0.000 0.250
V4 0.500 0.500 0.000
I1 0.000 0.000 0.000
I2 0.000 0.500 0.250
I3 0.500 0.000 0.750
I4 0.500 0.500 0.500

What is the uncorrected energy in the second record?
-3.477 eV/atom